1.
A plane-wave DFT calculation with PBE-GGA was carried out for a geometry-optimized BeRu2Pt structure.

Cell: 2.7745 2.7745 6.6386 Å, 90.00 90.00 90.00°
Closest atoms and distances in Å follow each position.
Space group P4/mmm (No. 123)
Asymmetric unit:
Be  0.0000  0.0000  0.0000 [1 per cell]  8 Ru 2.39
Ru  0.5000  0.5000  0.2056 [2 per cell]  4 Be 2.39
Pt  0.0000  0.0000  0.5000 [1 per cell]  8 Ru 2.77, 4 Pt 2.77

Summary:
Volume   12.8 Å³ per atom
ΔE_f   -0.10 eV per atom
Crystal system   tetragonal


2.
A plane-wave DFT calculation with PBE-GGA was carried out for a geometry-optimized Ba2YZn structure.

Cell: 4.0292 4.0292 34.6275 Å, 90.00 90.00 120.00°
Closest atoms and distances in Å follow each position.
Space group R-3m (No. 166, hexagonal axes)
Asymmetric unit:
Ba  0.0000  0.0000  0.2399 [6 per cell]  3 Zn 3.44
Y  0.0000  0.0000  0.0000 [3 per cell]  6 Ba 3.99, 6 Y 4.03
Zn  0.0000  0.0000  0.5000 [3 per cell]  6 Ba 3.44

Summary:
Volume   40.6 Å³ per atom
ΔE_f   0.19 eV per atom
Crystal system   trigonal


3.
A plane-wave DFT calculation with PBE-GGA was carried out for a geometry-optimized MgTi2Bi structure.

Cell: 7.7276 7.7276 5.8478 Å, 90.00 90.00 90.00°
Closest atoms and distances in Å follow each position.
Space group I-42d (No. 122)
Asymmetric unit:
Mg  0.0000  0.0000  0.0000 [4 per cell]  4 Ti 2.85, 2 Bi 2.92
Ti  0.2457  0.2500  0.6250 [8 per cell]  2 Bi 2.81, 2 Mg 2.85, 2 Ti 2.92
Bi  0.0000  0.0000  0.5000 [4 per cell]  4 Ti 2.81, 2 Mg 2.92

Summary:
Volume   21.8 Å³ per atom
ΔE_f   0.35 eV per atom
Crystal system   tetragonal


4.
A plane-wave DFT calculation with PBE-GGA was carried out for a geometry-optimized Hf5CoOs4 structure.

Cell: 3.2418 3.2418 16.1375 Å, 90.00 90.00 90.00°
Closest atoms and distances in Å follow each position.
Space group P4/mmm (No. 123)
Asymmetric unit:
Hf  0.0000  0.0000  0.0000 [1 per cell]  8 Os 2.82
Hf  0.0000  0.0000  0.2027 [2 per cell]  8 Os 2.81-2.82
Hf  0.0000  0.0000  0.4049 [2 per cell]  4 Co 2.76, 4 Os 2.81, 1 Hf 3.07
Co  0.5000  0.5000  0.5000 [1 per cell]  8 Hf 2.76
Os  0.5000  0.5000  0.1015 [2 per cell]  8 Hf 2.81-2.82
Os  0.5000  0.5000  0.3045 [2 per cell]  8 Hf 2.81-2.82

Summary:
Volume   17.0 Å³ per atom
ΔE_f   -0.63 eV per atom
Crystal system   tetragonal